# Sc2MoC PBE optimized geometry
data_Sc2MoC
_symmetry_space_group_name_H-M 'P 1'
_symmetry_Int_Tables_number 1
_symmetry_space_group_name_Hall 'P 1'
_cell_length_a 9.093
_cell_length_b 9.093
_cell_length_c 9.093
_cell_angle_alpha 19.58
_cell_angle_beta 19.58
_cell_angle_gamma 19.58
loop_
_atom_site_label
_atom_site_type_symbol
_atom_site_fract_x
_atom_site_fract_y
_atom_site_fract_z
Mo1 Mo 0.500 0.500 0.500
Sc1 Sc 0.081 0.081 0.081
Sc2 Sc 0.919 0.919 0.919
C1 C 0.000 0.000 0.000
# Total magnetization, μB per cell: 0.000
# N(E_F), states/eV/cell: 5.7
# VASP energy, eV per formula unit: -28.05